Entry from the Alexandria database: a geometry-optimized Hf2CuPt2 structure (PBE).

Cell lengths 7.5833, 7.5833, 3.2798 Å; angles 90.00, 90.00, 90.00 degrees
Element x y z (fractional)
Cu (0.0000, 0.0000, 0.0000)
Hf (0.1624, 0.3376, 0.0000)
Pt (0.1348, 0.6348, 0.5000)
Pt (0.8652, 0.3651, 0.5000)
Hf (0.6624, 0.1624, 0.0000)
Pt (0.6348, 0.8652, 0.5000)
Hf (0.8376, 0.6624, 0.0000)
Cu (0.5000, 0.5000, 0.0000)
Hf (0.3376, 0.8376, 0.0000)
Pt (0.3651, 0.1348, 0.5000)

Calculated density ... 14.27 g/cm3
Symmetry ... No. 127
Magnetization ... 0.00 μB/atom
Calculated formation energy ... -0.5613 eV per atom